TaZn2NiO6 | PBE+U | optimized geometry

Spin magnetization, Bohr magnetons per cell: 1.954
Final energy, eV per atom: -6.3022
Space-group type: No. 11

```
20
Lattice="5.2439 0.0000 0.0000 0.0000 7.6267 0.0000 -0.1596 0.0000 5.3133" Properties=species:S:1:pos:R:3 pbc="T T T"
Ta 0.0000 0.0000 0.0000
Ta 0.0000 3.8134 0.0000
Zn -0.0077 1.9067 2.5415
Zn 2.6012 5.7200 0.2423
Zn 2.4831 1.9067 5.0710
Zn 5.0920 5.7200 2.7718
Ni 2.5421 0.0000 2.6566
Ni 2.5421 3.8134 2.6566
O 0.6327 1.9067 0.3411
O 0.8321 4.2916 1.7236
O 0.8321 7.1485 1.7236
O 1.5368 4.2995 4.4013
O 1.5368 7.1406 4.4013
O 1.9311 1.9067 3.0899
O 3.1531 5.7200 2.2234
O 3.5475 0.4861 0.9119
O 3.5475 3.3272 0.9119
O 4.2522 0.4782 3.5897
O 4.2522 3.3351 3.5897
O 4.4515 5.7200 4.9721
```